#i
# EuGd2Tm, relaxed, DFT PBE
data_EuGd2Tm
_chemical_formula_sum 'Eu3 Gd6 Tm3'
_cell_length_a 3.6045
_cell_length_b 3.6045
_cell_length_c 35.6369
_cell_angle_alpha 90.00
_cell_angle_beta 90.00
_cell_angle_gamma 120.00
_symmetry_space_group_name_H-M 'R -3 m'
_symmetry_Int_Tables_number 166
_symmetry_space_group_name_Hall '-R 3 2"'
loop_
_atom_site_label
_atom_site_fract_x
_atom_site_fract_y
_atom_site_fract_z
_atom_site_occupancy
Eu1 0.0000 0.0000 0.0000 1
Gd1 0.0000 0.0000 0.2454 1
Tm1 0.0000 0.0000 0.5000 1
# - Density: 7.9 g/cm³

***

#ii
# EuGd2Tm, relaxed, DFT PBE
data_EuGd2Tm
_chemical_formula_sum 'Eu1 Gd2 Tm1'
_cell_length_a 5.914
_cell_length_b 5.914
_cell_length_c 3.799
_cell_angle_alpha 90.00
_cell_angle_beta 90.00
_cell_angle_gamma 90.00
_symmetry_space_group_name_H-M 'P 4/m m m'
_symmetry_Int_Tables_number 123
_symmetry_space_group_name_Hall '-P 4 2'
loop_
_atom_site_label
_atom_site_fract_x
_atom_site_fract_y
_atom_site_fract_z
_atom_site_occupancy
Eu1 0.000 0.000 0.000 1
Gd1 0.000 0.500 0.500 1
Tm1 0.500 0.500 0.000 1
# - Density: 7.9 g/cm³

***

#iii
# EuGd2Tm, relaxed, DFT PBE
data_EuGd2Tm
_chemical_formula_sum 'Eu4 Gd8 Tm4'
_cell_length_a 8.122
_cell_length_b 8.122
_cell_length_c 8.122
_cell_angle_alpha 90.00
_cell_angle_beta 90.00
_cell_angle_gamma 90.00
_symmetry_space_group_name_H-M 'F m -3 m'
_symmetry_Int_Tables_number 225
_symmetry_space_group_name_Hall '-F 4 2 3'
loop_
_atom_site_label
_atom_site_fract_x
_atom_site_fract_y
_atom_site_fract_z
_atom_site_occupancy
Eu1 0.000 0.000 0.000 1
Gd1 0.250 0.250 0.250 1
Tm1 0.000 0.000 0.500 1
# - Density: 7.9 g/cm³

***

#iv
# EuGd2Tm, relaxed, DFT PBE
data_EuGd2Tm
_chemical_formula_sum 'Eu1 Gd2 Tm1'
_cell_length_a 5.107
_cell_length_b 5.107
_cell_length_c 5.093
_cell_angle_alpha 90.00
_cell_angle_beta 90.00
_cell_angle_gamma 90.00
_symmetry_space_group_name_H-M 'P 4/m m m'
_symmetry_Int_Tables_number 123
_symmetry_space_group_name_Hall '-P 4 2'
loop_
_atom_site_label
_atom_site_fract_x
_atom_site_fract_y
_atom_site_fract_z
_atom_site_occupancy
Eu1 0.000 0.000 0.000 1
Gd1 0.000 0.500 0.500 1
Tm1 0.500 0.500 0.000 1
# - Density: 7.9 g/cm³

***

Stability order, top to bottom: #i, #iv, #ii, #iii

***

#i
# EuGdY2, relaxed, DFT PBE
data_EuGdY2
_chemical_formula_sum 'Eu1 Gd1 Y2'
_cell_length_a 5.145
_cell_length_b 5.145
_cell_length_c 5.100
_cell_angle_alpha 90.00
_cell_angle_beta 90.00
_cell_angle_gamma 90.00
_symmetry_space_group_name_H-M 'P 4/m m m'
_symmetry_Int_Tables_number 123
_symmetry_space_group_name_Hall '-P 4 2'
loop_
_atom_site_label
_atom_site_fract_x
_atom_site_fract_y
_atom_site_fract_z
_atom_site_occupancy
Eu1 0.000 0.000 0.000 1
Gd1 0.500 0.500 0.000 1
Y1 0.000 0.500 0.500 1
# - Density: 6.0 g/cm³

***

#ii
# EuGdY2, relaxed, DFT PBE
data_EuGdY2
_chemical_formula_sum 'Eu1 Gd1 Y2'
_cell_length_a 3.645
_cell_length_b 3.645
_cell_length_c 10.280
_cell_angle_alpha 90.00
_cell_angle_beta 90.00
_cell_angle_gamma 90.00
_symmetry_space_group_name_H-M 'P 4/m m m'
_symmetry_Int_Tables_number 123
_symmetry_space_group_name_Hall '-P 4 2'
loop_
_atom_site_label
_atom_site_fract_x
_atom_site_fract_y
_atom_site_fract_z
_atom_site_occupancy
Eu1 0.000 0.000 0.000 1
Gd1 0.000 0.000 0.500 1
Y1 0.500 0.500 0.265 1
# - Density: 5.9 g/cm³

***

#iii
# EuGdY2, relaxed, DFT PBE
data_EuGdY2
_chemical_formula_sum 'Eu4 Gd4 Y8'
_cell_length_a 8.167
_cell_length_b 8.167
_cell_length_c 8.167
_cell_angle_alpha 90.00
_cell_angle_beta 90.00
_cell_angle_gamma 90.00
_symmetry_space_group_name_H-M 'F m -3 m'
_symmetry_Int_Tables_number 225
_symmetry_space_group_name_Hall '-F 4 2 3'
loop_
_atom_site_label
_atom_site_fract_x
_atom_site_fract_y
_atom_site_fract_z
_atom_site_occupancy
Eu1 0.000 0.000 0.000 1
Gd1 0.000 0.000 0.500 1
Y1 0.250 0.250 0.250 1
# - Density: 5.9 g/cm³

***

Stability order, top to bottom: #ii, #i, #iii

***

#i
# EuGd2Zn, relaxed, DFT PBE
data_EuGd2Zn
_chemical_formula_sum 'Eu4 Gd8 Zn4'
_cell_length_a 7.675
_cell_length_b 7.675
_cell_length_c 7.675
_cell_angle_alpha 90.00
_cell_angle_beta 90.00
_cell_angle_gamma 90.00
_symmetry_space_group_name_H-M 'F m -3 m'
_symmetry_Int_Tables_number 225
_symmetry_space_group_name_Hall '-F 4 2 3'
loop_
_atom_site_label
_atom_site_fract_x
_atom_site_fract_y
_atom_site_fract_z
_atom_site_occupancy
Eu1 0.000 0.000 0.000 1
Gd1 0.250 0.250 0.250 1
Zn1 0.000 0.000 0.500 1
# - Density: 7.8 g/cm³

***

#ii
# EuGd2Zn, relaxed, DFT PBE
data_EuGd2Zn
_chemical_formula_sum 'Eu1 Gd2 Zn1'
_cell_length_a 4.905
_cell_length_b 4.905
_cell_length_c 4.762
_cell_angle_alpha 90.00
_cell_angle_beta 90.00
_cell_angle_gamma 90.00
_symmetry_space_group_name_H-M 'P 4/m m m'
_symmetry_Int_Tables_number 123
_symmetry_space_group_name_Hall '-P 4 2'
loop_
_atom_site_label
_atom_site_fract_x
_atom_site_fract_y
_atom_site_fract_z
_atom_site_occupancy
Eu1 0.000 0.000 0.000 1
Gd1 0.000 0.500 0.500 1
Zn1 0.500 0.500 0.000 1
# - Density: 7.7 g/cm³

***

Stability order, top to bottom: #ii, #i